A plane-wave DFT calculation with PBE-GGA was carried out for a relaxed structure of Pm6Tl3TeSe2.

SG	C2/m
density	8.13	g cm⁻³
DOS at the Fermi energy	6.10	states/eV/f.u.
formation energy (no corrections)	-1.010	eV per atom

abc: 10.1832 10.1832 9.2540
angles: 110.71 110.71 23.82
With the nearest neighbours (Å) after each atom.
Element x y z (fractional)
Pm 0.0091 0.0091 0.2507  1 Se 2.98, 2 Te 3.09, 3 Tl 3.17-3.22
Pm 0.3274 0.3274 0.4358  3 Se 2.96-3.00, 3 Tl 3.25-3.27
Pm 0.3323 0.3323 0.9036  2 Se 3.01, 1 Te 3.13, 3 Tl 3.21-3.26
Pm 0.6677 0.6677 0.0964  2 Se 3.01, 1 Te 3.13, 3 Tl 3.21-3.26
Pm 0.6726 0.6726 0.5642  3 Se 2.96-3.00, 3 Tl 3.25-3.27
Pm 0.9909 0.9909 0.7493  1 Se 2.98, 2 Te 3.09, 3 Tl 3.17-3.22
Tl 0.1616 0.1616 0.8227  6 Pm 3.21-3.26
Tl 0.5000 0.5000 0.5000  6 Pm 3.17-3.27
Tl 0.8384 0.8384 0.1773  6 Pm 3.21-3.26
Te 0.5000 0.5000 0.0000  6 Pm 3.09-3.13
Se 0.1681 0.1681 0.3298  6 Pm 2.96-3.01
Se 0.8319 0.8319 0.6702  6 Pm 2.96-3.01

---

A plane-wave DFT calculation with PBE-GGA was carried out for a relaxed structure of PmTmTeSe2.

SG	I4mm
density	6.51	g cm⁻³
DOS at the Fermi energy	0.60	states/eV/f.u.
formation energy (no corrections)	-1.329	eV per atom

abc: 4.6531 4.6531 14.1298
angles: 90.00 90.00 90.00
With the nearest neighbours (Å) after each atom.
Element x y z (fractional)
Pm 0.0000 0.0000 0.0000  4 Se 2.87
Pm 0.5000 0.5000 0.5000  4 Se 2.87
Tm 0.0000 0.0000 0.7208  4 Se 2.74
Tm 0.5000 0.5000 0.2208  4 Se 2.74
Te 0.0000 0.0000 0.3678  4 Pm 3.78, 4 Tm 3.89, 4 Se 4.22
Te 0.5000 0.5000 0.8678  4 Pm 3.78, 4 Tm 3.89, 4 Se 4.22
Se 0.0000 0.5000 0.1190  2 Tm 2.74, 2 Pm 2.87
Se 0.0000 0.5000 0.6190  2 Tm 2.74, 2 Pm 2.87
Se 0.5000 0.0000 0.1190  2 Tm 2.74, 2 Pm 2.87
Se 0.5000 0.0000 0.6190  2 Tm 2.74, 2 Pm 2.87

---

A plane-wave DFT calculation with PBE-GGA was carried out for a relaxed structure of PmTmTe2Se.

SG	P4/nmm
density	7.37	g cm⁻³
DOS at the Fermi energy	1.83	states/eV/f.u.
formation energy (no corrections)	-1.379	eV per atom

abc: 4.3356 4.3356 15.5459
angles: 90.00 90.00 90.00
With the nearest neighbours (Å) after each atom.
Element x y z (fractional)
Pm 0.2500 0.2500 0.1314  4 Se 2.98, 4 Te 3.32
Pm 0.7500 0.7500 0.8686  4 Se 2.98, 4 Te 3.32
Tm 0.2500 0.2500 0.5902  6 Te 3.06-3.08
Tm 0.7500 0.7500 0.4098  6 Te 3.06-3.08
Te 0.2500 0.2500 0.3928  5 Tm 3.07-3.08
Te 0.2500 0.2500 0.7869  1 Tm 3.06, 4 Pm 3.32
Te 0.7500 0.7500 0.2131  1 Tm 3.06, 4 Pm 3.32
Te 0.7500 0.7500 0.6072  5 Tm 3.07-3.08
Se 0.2500 0.7500 0.0000  4 Pm 2.98, 4 Se 3.07
Se 0.7500 0.2500 0.0000  4 Pm 2.98, 4 Se 3.07

---

A plane-wave DFT calculation with PBE-GGA was carried out for a relaxed structure of PmUTeSe2.

SG	I4mm
density	7.50	g cm⁻³
DOS at the Fermi energy	7.92	states/eV/f.u.
formation energy (no corrections)	-0.994	eV per atom

abc: 4.6115 4.6115 13.9271
angles: 90.00 90.00 90.00
With the nearest neighbours (Å) after each atom.
Element x y z (fractional)
Pm 0.0000 0.0000 0.0000  4 Se 2.89
Pm 0.5000 0.5000 0.5000  4 Se 2.89
U 0.0000 0.0000 0.2582  4 Se 2.83
U 0.5000 0.5000 0.7582  4 Se 2.83
Te 0.0000 0.0000 0.6310  4 U 3.71, 4 Pm 3.74, 4 Se 4.11
Te 0.5000 0.5000 0.1310  4 U 3.71, 4 Pm 3.74, 4 Se 4.11
Se 0.0000 0.5000 0.3754  2 U 2.83, 2 Pm 2.89
Se 0.0000 0.5000 0.8754  2 U 2.83, 2 Pm 2.89
Se 0.5000 0.0000 0.3754  2 U 2.83, 2 Pm 2.89
Se 0.5000 0.0000 0.8754  2 U 2.83, 2 Pm 2.89

---

A plane-wave DFT calculation with PBE-GGA was carried out for a relaxed structure of PmUTe2Se.

SG	P4/nmm
density	8.03	g cm⁻³
DOS at the Fermi energy	8.34	states/eV/f.u.
formation energy (no corrections)	-1.073	eV per atom

abc: 4.4139 4.4139 15.2307
angles: 90.00 90.00 90.00
With the nearest neighbours (Å) after each atom.
Element x y z (fractional)
Pm 0.2500 0.2500 0.0901  6 Te 3.16-3.21
Pm 0.7500 0.7500 0.9099  6 Te 3.16-3.21
U 0.2500 0.2500 0.6230  4 Se 2.90
U 0.7500 0.7500 0.3770  4 Se 2.90
Te 0.2500 0.2500 0.2994  1 Pm 3.19, 4 U 3.34
Te 0.2500 0.2500 0.8791  5 Pm 3.16-3.21
Te 0.7500 0.7500 0.1209  5 Pm 3.16-3.21
Te 0.7500 0.7500 0.7006  1 Pm 3.19, 4 U 3.34
Se 0.2500 0.7500 0.5000  4 U 2.90, 4 Se 3.12
Se 0.7500 0.2500 0.5000  4 U 2.90, 4 Se 3.12

---

A plane-wave DFT calculation with PBE-GGA was carried out for a relaxed structure of PmYTeSe.

SG	R3m
density	6.59	g cm⁻³
DOS at the Fermi energy	0.82	states/eV/f.u.
formation energy (no corrections)	-1.608	eV per atom

abc: 4.1532 4.1532 22.2968
angles: 90.00 90.00 120.00
With the nearest neighbours (Å) after each atom.
Element x y z (fractional)
Pm 0.0000 0.0000 0.0000  3 Se 2.91, 3 Te 3.20
Pm 0.3333 0.6667 0.6667  3 Se 2.91, 3 Te 3.20
Pm 0.6667 0.3333 0.3333  3 Se 2.91, 3 Te 3.20
Y 0.0000 0.0000 0.1872  3 Se 2.89, 3 Te 3.16
Y 0.3333 0.6667 0.8538  3 Se 2.89, 3 Te 3.16
Y 0.6667 0.3333 0.5205  3 Se 2.89, 3 Te 3.16
Te 0.0000 0.0000 0.4284  3 Y 3.16, 3 Pm 3.20
Te 0.3333 0.6667 0.0950  3 Y 3.16, 3 Pm 3.20
Te 0.6667 0.3333 0.7617  3 Y 3.16, 3 Pm 3.20
Se 0.0000 0.0000 0.5924  3 Y 2.89, 3 Pm 2.91
Se 0.3333 0.6667 0.2591  3 Y 2.89, 3 Pm 2.91
Se 0.6667 0.3333 0.9258  3 Y 2.89, 3 Pm 2.91

---

A plane-wave DFT calculation with PBE-GGA was carried out for a relaxed structure of PmYTe2Se.

SG	P4/nmm
density	6.36	g cm⁻³
DOS at the Fermi energy	1.81	states/eV/f.u.
formation energy (no corrections)	-1.425	eV per atom

abc: 4.3563 4.3563 15.6391
angles: 90.00 90.00 90.00
With the nearest neighbours (Å) after each atom.
Element x y z (fractional)
Pm 0.2500 0.2500 0.1310  4 Se 2.99, 4 Te 3.32
Pm 0.7500 0.7500 0.8690  4 Se 2.99, 4 Te 3.32
Y 0.2500 0.2500 0.5904  6 Te 3.09-3.12
Y 0.7500 0.7500 0.4096  6 Te 3.09-3.12
Te 0.2500 0.2500 0.3909  5 Y 3.09-3.12
Te 0.2500 0.2500 0.7894  1 Y 3.11, 4 Pm 3.32
Te 0.7500 0.7500 0.2106  1 Y 3.11, 4 Pm 3.32
Te 0.7500 0.7500 0.6091  5 Y 3.09-3.12
Se 0.2500 0.7500 0.0000  4 Pm 2.99, 4 Se 3.08
Se 0.7500 0.2500 0.0000  4 Pm 2.99, 4 Se 3.08

---

A plane-wave DFT calculation with PBE-GGA was carried out for a relaxed structure of PmTh2Se5.

SG	Cmcm
density	6.03	g cm⁻³
DOS at the Fermi energy	3.19	states/eV/f.u.
formation energy (no corrections)	-1.692	eV per atom
excess energy over the best structure of this formula in the dataset	25.0	meV/atom

abc: 7.2938 7.2938 14.1855
angles: 90.00 90.00 132.90
With the nearest neighbours (Å) after each atom.
Element x y z (fractional)
Pm 0.2180 0.7820 0.7500  6 Se 2.89-3.01
Pm 0.7820 0.2180 0.2500  6 Se 2.89-3.01
Th 0.1524 0.8476 0.0564  6 Se 2.86-3.01
Th 0.1524 0.8476 0.4436  6 Se 2.86-3.01
Th 0.8476 0.1524 0.5564  6 Se 2.86-3.01
Th 0.8476 0.1524 0.9436  6 Se 2.86-3.01
Se 0.0498 0.9502 0.6216  2 Th 2.86-2.87, 1 Pm 2.89
Se 0.0498 0.9502 0.8784  2 Th 2.86-2.87, 1 Pm 2.89
Se 0.2395 0.7605 0.2500  2 Pm 2.97, 2 Th 2.98
Se 0.3348 0.6652 0.5683  3 Th 2.92-3.01, 1 Pm 3.01
Se 0.3348 0.6652 0.9317  3 Th 2.92-3.01, 1 Pm 3.01
Se 0.6652 0.3348 0.0683  3 Th 2.92-3.01, 1 Pm 3.01
Se 0.6652 0.3348 0.4317  3 Th 2.92-3.01, 1 Pm 3.01
Se 0.7605 0.2395 0.7500  2 Pm 2.97, 2 Th 2.98
Se 0.9502 0.0498 0.1216  2 Th 2.86-2.87, 1 Pm 2.89
Se 0.9502 0.0498 0.3784  2 Th 2.86-2.87, 1 Pm 2.89

---

A plane-wave DFT calculation with PBE-GGA was carried out for a relaxed structure of Pm3Th5Se8.

SG	R-3m
density	8.83	g cm⁻³
DOS at the Fermi energy	7.99	states/eV/f.u.
formation energy (no corrections)	-1.645	eV per atom

abc: 8.4460 8.4460 8.4460
angles: 59.23 59.23 59.23
With the nearest neighbours (Å) after each atom.
Element x y z (fractional)
Pm 0.0000 0.5000 0.5000  6 Se 2.95
Pm 0.5000 0.0000 0.5000  6 Se 2.95
Pm 0.5000 0.5000 0.0000  6 Se 2.95
Th 0.0000 0.0000 0.0000  6 Se 2.97
Th 0.0000 0.0000 0.5000  6 Se 2.99
Th 0.0000 0.5000 0.0000  6 Se 2.99
Th 0.5000 0.0000 0.0000  6 Se 2.99
Th 0.5000 0.5000 0.5000  6 Se 2.97
Se 0.2499 0.2499 0.7467  2 Pm 2.95, 4 Th 2.97-2.99
Se 0.2499 0.7467 0.2499  2 Pm 2.95, 4 Th 2.97-2.99
Se 0.2514 0.2514 0.2514  3 Pm 2.95, 3 Th 2.99
Se 0.2533 0.7501 0.7501  2 Pm 2.95, 4 Th 2.97-2.99
Se 0.7467 0.2499 0.2499  2 Pm 2.95, 4 Th 2.97-2.99
Se 0.7486 0.7486 0.7486  3 Pm 2.95, 3 Th 2.99
Se 0.7501 0.2533 0.7501  2 Pm 2.95, 4 Th 2.97-2.99
Se 0.7501 0.7501 0.2533  2 Pm 2.95, 4 Th 2.97-2.99

---

A plane-wave DFT calculation with PBE-GGA was carried out for a relaxed structure of Pm5ThSe7.

SG	Cm
density	7.13	g cm⁻³
DOS at the Fermi energy	5.69	states/eV/f.u.
formation energy (no corrections)	-1.804	eV per atom

abc: 7.2505 7.2505 24.5836
angles: 92.13 92.13 32.98
With the nearest neighbours (Å) after each atom.
Element x y z (fractional)
Pm 0.0000 0.0000 0.0000  6 Se 2.94-3.17
Pm 0.0007 0.0007 0.5000  6 Se 2.95-3.04
Pm 0.2714 0.2714 0.9304  6 Se 2.90-2.98
Pm 0.2837 0.2837 0.5705  6 Se 2.93-3.03
Pm 0.4455 0.4455 0.3538  6 Se 2.92-3.01
Pm 0.4569 0.4569 0.1449  6 Se 2.88-2.98
Pm 0.5433 0.5433 0.8551  6 Se 2.88-2.98
Pm 0.5556 0.5556 0.6462  6 Se 2.92-3.01
Pm 0.7176 0.7176 0.4296  6 Se 2.93-3.02
Pm 0.7287 0.7287 0.0696  6 Se 2.90-2.98
Th 0.2089 0.2089 0.2369  7 Se 2.97-3.24
Th 0.7917 0.7917 0.7633  7 Se 2.97-3.23
Se 0.0846 0.0846 0.3876  5 Pm 2.92-3.04
Se 0.1021 0.1021 0.1174  5 Pm 2.98-3.17, 1 Th 3.24
Se 0.1768 0.1768 0.8199  3 Pm 2.92-2.97, 2 Th 2.98
Se 0.2011 0.2011 0.6825  3 Pm 3.00-3.03, 2 Th 3.09
Se 0.3624 0.3624 0.4610  6 Pm 2.92-2.96
Se 0.3664 0.3664 0.0374  6 Pm 2.88-2.94
Se 0.4426 0.4426 0.7481  2 Pm 2.93-3.01, 2 Th 2.97
Se 0.5580 0.5580 0.2518  2 Pm 2.93-3.01, 2 Th 2.97
Se 0.6336 0.6336 0.9627  6 Pm 2.88-2.94
Se 0.6388 0.6388 0.5391  6 Pm 2.92-2.96
Se 0.8000 0.8000 0.3175  3 Pm 3.00-3.02, 2 Th 3.09
Se 0.8234 0.8234 0.1801  3 Pm 2.93-2.97, 2 Th 2.98
Se 0.8981 0.8981 0.8826  5 Pm 2.98-3.17, 1 Th 3.23
Se 0.9166 0.9166 0.6123  5 Pm 2.92-3.04

---

A plane-wave DFT calculation with PBE-GGA was carried out for a relaxed structure of Pm4ThSe5.

SG	R-3m
density	7.67	g cm⁻³
DOS at the Fermi energy	5.17	states/eV/f.u.
formation energy (no corrections)	-1.775	eV per atom
excess energy over the best structure of this formula in the dataset	0.0	meV/atom

abc: 17.5613 17.5613 17.5613
angles: 13.62 13.62 13.62
With the nearest neighbours (Å) after each atom.
Element x y z (fractional)
Pm 0.1002 0.1002 0.1002  6 Se 2.94-2.99
Pm 0.3006 0.3006 0.3006  6 Se 2.95-2.98
Pm 0.6994 0.6994 0.6994  6 Se 2.95-2.98
Pm 0.8998 0.8998 0.8998  6 Se 2.94-2.99
Th 0.5000 0.5000 0.5000  6 Se 2.99
Se 0.0000 0.0000 0.0000  6 Pm 2.95
Se 0.2007 0.2007 0.2007  3 Pm 2.94, 3 Th 2.99
Se 0.3997 0.3997 0.3997  6 Pm 2.98-2.99
Se 0.6003 0.6003 0.6003  6 Pm 2.98-2.99
Se 0.7993 0.7993 0.7993  3 Pm 2.94, 3 Th 2.99

---

A plane-wave DFT calculation with PBE-GGA was carried out for a relaxed structure of Pm3ThSe4.

SG	Pm-3m
density	7.79	g cm⁻³
DOS at the Fermi energy	8.15	states/eV/f.u.
formation energy (no corrections)	-1.741	eV per atom
excess energy over the best structure of this formula in the dataset	4.5	meV/atom

abc: 5.9392 5.9392 5.9392
angles: 90.00 90.00 90.00
With the nearest neighbours (Å) after each atom.
Element x y z (fractional)
Pm 0.0000 0.0000 0.5000  6 Se 2.97
Pm 0.0000 0.5000 0.0000  6 Se 2.97
Pm 0.5000 0.0000 0.0000  6 Se 2.97
Th 0.5000 0.5000 0.5000  6 Se 2.97
Se 0.0000 0.0000 0.0000  6 Pm 2.97
Se 0.0000 0.5000 0.5000  2 Th 2.97, 4 Pm 2.97
Se 0.5000 0.0000 0.5000  2 Th 2.97, 4 Pm 2.97
Se 0.5000 0.5000 0.0000  2 Th 2.97, 4 Pm 2.97

---

| no. | calculated total energy (eV/f.u.) |
| --- | --- |
| 1 | -57.83 |
| 2 | -25.98 |
| 3 | -25.88 |
| 4 | -31.12 |
| 5 | -31.17 |
| 6 | -24.27 |
| 7 | -28.11 |
| 8 | -50.55 |
| 9 | -105.55 |
| 10 | -79.02 |
| 11 | -61.59 |
| 12 | -49.54 |